[1]
DFT (GGA-PBE) results for an optimized crystal structure of Pr3Y6ErTh2.

Density of states at the Fermi level = 16.28 states/eV/f.u.
Formation energy = 0.02 eV per atom

Geometry as extended XYZ:
```
12
Lattice="3.123 -5.406 0.000 3.123 5.406 0.000 -2.083 0.000 11.697" Properties=species:S:1:pos:R:3 pbc="T T T"
Pr 0.000 0.000 0.000
Pr 3.123 1.798 0.000
Pr 3.123 -1.798 0.000
Y 1.030 1.823 2.997
Y -0.026 0.000 8.705
Y 1.030 -1.823 2.997
Y 3.134 1.823 8.700
Y 4.190 0.000 2.992
Y 3.134 -1.823 8.700
Er 2.082 0.000 5.848
Th 2.082 3.606 5.848
Th 2.082 -3.606 5.848
```

---

[2]
DFT (GGA-PBE) results for an optimized crystal structure of Ac2NdThN4.

Formation energy from raw total energies = -1.297 eV/atom
Density of states at the Fermi level = 2.33 states/eV/f.u.

Geometry as extended XYZ:
```
8
Lattice="6.503 0.000 0.000 0.000 3.768 0.000 -2.164 0.000 6.220" Properties=species:S:1:pos:R:3 pbc="T T T"
Ac 0.000 0.000 0.000
Ac 3.252 1.884 0.000
Nd -1.082 1.884 3.110
Th 2.170 0.000 3.110
N 0.065 0.000 4.531
N 1.135 1.884 1.724
N 3.205 1.884 4.496
N 4.274 0.000 1.689
```

---

[3]
DFT (GGA-PBE) results for an optimized crystal structure of Ce6InI8.

Formation energy from raw total energies = -0.993 eV/atom
Density of states at the Fermi level = 39.75 states/eV/f.u.

Geometry as extended XYZ:
```
15
Lattice="3.806 2.197 11.676 -3.806 2.197 11.676 0.000 -4.394 11.676" Properties=species:S:1:pos:R:3 pbc="T T T"
Ce -1.263 -2.207 13.541
Ce -2.543 -0.010 21.488
Ce -1.280 2.197 13.541
Ce 1.280 -2.197 21.488
Ce 2.543 0.010 13.541
Ce 1.263 2.207 21.488
In 0.000 0.000 0.000
I -2.541 0.005 15.561
I -1.275 -2.198 19.467
I 0.000 0.000 11.676
I 1.266 -2.203 15.561
I -1.266 2.203 19.467
I 0.000 0.000 23.352
I 1.275 2.198 15.561
I 2.541 -0.005 19.467
```

---

[4]
DFT (GGA-PBE) results for an optimized crystal structure of CrAg2P2.

Density of states at the Fermi level = 2.00 states/eV/f.u.
Formation energy = 0.03 eV per atom

Geometry as extended XYZ:
```
10
Lattice="6.017 0.000 0.000 0.000 6.017 0.000 0.000 0.000 4.743" Properties=species:S:1:pos:R:3 pbc="T T T"
Cr 0.000 0.000 0.000
Cr 3.008 3.008 0.000
Ag 1.381 1.627 2.371
Ag 1.627 4.636 2.371
Ag 4.389 1.381 2.371
Ag 4.636 4.389 2.371
P 0.778 2.230 0.000
P 2.230 5.239 0.000
P 3.786 0.778 0.000
P 5.239 3.786 0.000
```

---

[5]
DFT (GGA-PBE) results for an optimized crystal structure of La3AgI3.

Formation energy from raw total energies = -0.951 eV/atom
Density of states at the Fermi level = 7.76 states/eV/f.u.

Geometry as extended XYZ:
```
28
Lattice="-6.406 6.406 6.406 6.406 -6.406 6.406 6.406 6.406 -6.406" Properties=species:S:1:pos:R:3 pbc="T T T"
La 1.735 1.602 -1.468
La 7.874 1.735 -1.602
La 1.602 -1.468 1.735
La 4.939 4.671 -1.602
La 4.671 1.602 1.468
La -1.468 1.735 1.602
La 4.671 -1.602 4.939
La 1.602 1.468 4.671
La 1.468 4.671 1.602
La 1.735 -1.602 7.874
La -1.602 7.874 1.735
La -1.602 4.939 4.671
Ag 4.805 1.602 -1.602
Ag 1.602 1.602 1.602
Ag 1.602 -1.602 4.805
Ag -1.602 4.805 1.602
I 8.008 1.479 1.724
I 8.008 -1.479 4.682
I 4.682 8.008 -1.479
I 4.927 1.724 4.805
I 4.805 4.927 1.724
I 1.724 8.008 1.479
I 7.886 4.682 4.805
I 1.724 4.805 4.927
I 1.479 1.724 8.008
I 4.805 7.886 4.682
I -1.479 4.682 8.008
I 4.682 4.805 7.886
```

---

[6]
DFT (GGA-PBE) results for an optimized crystal structure of ScTa2Ti.

Density of states at the Fermi level = 8.77 states/eV/f.u.
Energy relative to the lowest polymorph listed for this composition = 0.00 kcal/mol of atoms
Formation energy = 0.30 eV per atom

Geometry as extended XYZ:
```
4
Lattice="0.000 3.341 3.341 3.341 0.000 3.341 3.341 3.341 0.000" Properties=species:S:1:pos:R:3 pbc="T T T"
Sc 0.000 0.000 0.000
Ta 1.671 1.671 1.671
Ta 5.012 5.012 5.012
Ti 3.341 3.341 3.341
```

---

Please write out number 2 again, unchanged.
DFT (GGA-PBE) results for an optimized crystal structure of Ac2NdThN4.

Formation energy from raw total energies = -1.297 eV/atom
Density of states at the Fermi level = 2.33 states/eV/f.u.

Geometry as extended XYZ:
```
8
Lattice="6.503 0.000 0.000 0.000 3.768 0.000 -2.164 0.000 6.220" Properties=species:S:1:pos:R:3 pbc="T T T"
Ac 0.000 0.000 0.000
Ac 3.252 1.884 0.000
Nd -1.082 1.884 3.110
Th 2.170 0.000 3.110
N 0.065 0.000 4.531
N 1.135 1.884 1.724
N 3.205 1.884 4.496
N 4.274 0.000 1.689
```

---

Question: The highest density of states at the Fermi level belongs to which entry?
Answer: Ce6InI8

---

Question: What is the formula in the sixth record?
Answer: ScTa2Ti